# 1
Here is crystalline Tm3MgC at its relaxed geometry from the Alexandria database. Energies are from PBE.

Results
* uncorrected energy: -5.072 eV/atom
* calculated formation energy: -0.2255 eV/atom

Structure (POSCAR):
```
Tm3MgC
1.0
4.895 0.000 0.000
0.000 4.895 0.000
0.000 0.000 4.895
Mg Tm C
1 3 1
direct
0.500 0.500 0.500
0.000 0.500 0.000
0.000 0.000 0.500
0.500 0.000 0.000
0.000 0.000 0.000
```


# 2
Here is crystalline CaAgPS4 at its relaxed geometry from the Alexandria database. Energies are from PBE.

Results
* uncorrected energy: -4.442 eV/atom
* formation energy without anion corrections: -617 meV/atom

Structure (POSCAR):
```
CaAgPS4
1.0
-2.447 -6.523 -0.234
4.552 -5.324 -3.031
1.803 -4.609 5.811
Ca Ag P S
2 2 2 8
direct
0.000 0.000 0.000
0.000 0.500 0.500
0.500 0.000 0.500
0.000 0.000 0.500
0.611 0.639 0.139
0.389 0.361 0.861
0.705 0.735 0.855
0.295 0.645 0.765
0.705 0.355 0.235
0.295 0.265 0.145
0.231 0.760 0.260
0.749 0.760 0.260
0.251 0.240 0.740
0.769 0.240 0.740
```


# 3
Here is crystalline Y5Mg4 at its relaxed geometry from the Alexandria database. Energies are from PBE.

Results
* uncorrected energy: -4.278 eV/atom
* calculated formation energy: 0.0219 eV/atom

Structure (POSCAR):
```
Y5Mg4
1.0
-5.693 5.693 1.958
5.693 -5.693 1.958
5.693 5.693 -1.958
Y Mg
5 4
direct
0.000 0.000 0.000
0.668 0.332 0.000
0.332 0.668 0.000
0.332 0.332 0.663
0.668 0.668 0.337
0.654 0.000 0.654
0.346 0.000 0.346
0.000 0.346 0.346
0.000 0.654 0.654
```


# 4
Here is crystalline Rb3Na4O at its relaxed geometry from the Alexandria database. Energies are from PBE.

Results
* uncorrected energy: -2.012 eV/atom
* formation energy without anion corrections: -370 meV/atom

Structure (POSCAR):
```
Rb3Na4O
1.0
-5.087 -6.138 -1.740
8.070 -1.203 0.087
0.608 3.008 7.560
Rb Na O
3 4 1
direct
0.645 0.328 0.973
0.916 0.000 0.916
0.645 0.672 0.317
0.114 0.637 0.751
0.114 0.363 0.476
0.626 0.219 0.407
0.188 0.781 0.407
0.903 0.500 0.403
```


# 5
Here is crystalline PaZnHg2 at its relaxed geometry from the Alexandria database. Energies are from PBE.

Results
* uncorrected energy: -2.682 eV/atom
* calculated formation energy: 0.1615 eV/atom

Structure (POSCAR):
```
PaZnHg2
1.0
-2.407 -0.231 4.008
-2.135 -3.629 -1.491
3.182 -2.595 1.760
Zn Pa Hg
1 1 2
direct
0.500 0.500 0.500
0.500 0.000 0.000
0.000 0.000 0.500
0.000 0.500 0.000
```


# 6
Here is crystalline NiRh6W2 at its relaxed geometry from the Alexandria database. Energies are from PBE.

Results
* uncorrected energy: -8.348 eV/atom
* calculated formation energy: 0.0734 eV/atom

Structure (POSCAR):
```
NiRh6W2
1.0
2.631 0.000 -0.704
-1.496 12.181 -5.592
0.283 -4.527 6.327
Ni Rh W
1 6 2
direct
0.000 0.500 0.000
0.323 0.496 0.646
0.677 0.504 0.354
0.677 0.850 0.354
0.500 0.142 0.000
0.500 0.858 0.000
0.323 0.150 0.646
0.189 0.189 0.378
0.811 0.811 0.622
```


# 7
Here is crystalline KAuCl2 at its relaxed geometry from the Alexandria database. Energies are from PBE.

Results
* uncorrected energy: -2.721 eV/atom
* formation energy without anion corrections: -704 meV/atom

Structure (POSCAR):
```
KAuCl2
1.0
0.000 3.610 3.610
3.610 0.000 3.610
3.610 3.610 0.000
K Au Cl
1 1 2
direct
0.000 0.000 0.000
0.500 0.500 0.500
0.250 0.250 0.250
0.750 0.750 0.750
```


# 8
Here is crystalline La3TlBr2 at its relaxed geometry from the Alexandria database. Energies are from PBE.

Results
* uncorrected energy: -4.437 eV/atom
* formation energy without anion corrections: -1021 meV/atom

Structure (POSCAR):
```
La3TlBr2
1.0
-2.554 -3.707 -1.491
2.034 0.949 -5.851
5.166 -2.440 4.768
La Tl Br
3 1 2
direct
0.500 0.500 0.000
0.174 0.174 0.347
0.826 0.826 0.653
0.500 0.000 0.000
0.161 0.661 0.323
0.839 0.339 0.677
```


# 9
Here is crystalline AlSbO4 at its relaxed geometry from the Alexandria database. Energies are from PBE.

Results
* uncorrected energy: -6.668 eV/atom
* formation energy without anion corrections: -2051 meV/atom

Structure (POSCAR):
```
AlSbO4
1.0
4.545 0.000 0.000
0.000 4.937 0.000
0.000 0.000 5.575
Al Sb O
2 2 8
direct
0.000 0.500 0.161
0.500 0.500 0.661
0.000 0.000 0.839
0.500 0.000 0.339
0.225 0.819 0.113
0.234 0.334 0.888
0.266 0.334 0.388
0.275 0.819 0.613
0.734 0.666 0.388
0.725 0.181 0.613
0.775 0.181 0.113
0.766 0.666 0.888
```


# 10
Here is crystalline TbAg3Sn3 at its relaxed geometry from the Alexandria database. Energies are from PBE.

Results
* uncorrected energy: -3.206 eV/atom
* calculated formation energy: 0.3925 eV/atom

Structure (POSCAR):
```
TbAg3Sn3
1.0
7.529 0.000 0.000
0.000 7.529 0.000
0.000 0.000 7.529
Tb Sn Ag
2 6 6
direct
0.500 0.500 0.500
0.000 0.000 0.000
0.250 0.000 0.500
0.000 0.500 0.250
0.500 0.750 0.000
0.750 0.000 0.500
0.000 0.500 0.750
0.500 0.250 0.000
0.000 0.250 0.500
0.000 0.750 0.500
0.500 0.000 0.750
0.750 0.500 0.000
0.500 0.000 0.250
0.250 0.500 0.000
```


# 11
Here is crystalline Tb3Hg at its relaxed geometry from the Alexandria database. Energies are from PBE.

Results
* uncorrected energy: -3.776 eV/atom
* calculated formation energy: -0.2277 eV/atom

Structure (POSCAR):
```
Tb3Hg
1.0
3.615 0.000 0.000
0.000 3.615 0.000
0.000 0.000 8.927
Tb Hg
3 1
direct
0.000 0.000 0.500
0.500 0.500 0.223
0.500 0.500 0.777
0.000 0.000 0.000
```


# 12
Here is crystalline PmPr5Er3 at its relaxed geometry from the Alexandria database. Energies are from PBE.

Results
* uncorrected energy: -4.430 eV/atom
* calculated formation energy: 0.2744 eV/atom

Structure (POSCAR):
```
PmPr5Er3
1.0
-4.244 -4.427 -1.629
8.106 -4.057 2.268
-3.854 -0.264 10.759
Pm Pr Er
2 10 6
direct
0.883 0.000 0.750
0.117 0.000 0.250
0.410 0.000 0.750
0.559 0.675 0.930
0.960 0.351 0.242
0.441 0.325 0.070
0.609 0.649 0.258
0.590 0.000 0.250
0.116 0.675 0.430
0.884 0.325 0.570
0.391 0.351 0.742
0.040 0.649 0.758
0.000 0.000 0.000
0.417 0.327 0.416
0.000 0.000 0.500
0.583 0.673 0.584
0.910 0.327 0.916
0.090 0.673 0.084
```